(1)
Compound: PmCd2ReN4
Source: Alexandria via LeMat-Bulk
Functional: PBE
Structure: optimized geometry

```
data_PmCd2ReN4
_cell_length_a 7.298
_cell_length_b 6.619
_cell_length_c 5.809
_cell_angle_alpha 90.00
_cell_angle_beta 90.00
_cell_angle_gamma 90.00
_symmetry_space_group_name_H-M 'P m n 21'
_symmetry_Int_Tables_number 31
loop_
_symmetry_equiv_pos_as_xyz
'x,y,z'
'-x+1/2,-y,z+1/2'
'-x,y,z'
'x+1/2,-y,z+1/2'
loop_
_atom_site_label
_atom_site_type_symbol
_atom_site_fract_x
_atom_site_fract_y
_atom_site_fract_z
Pm1 Pm 0.000 0.170 0.000
Cd1 Cd 0.221 0.636 0.989
Re1 Re 0.000 0.893 0.491
N1 N 0.000 0.171 0.417
N2 N 0.000 0.857 0.804
N3 N 0.200 0.773 0.362
```

The value obtained for the volume is 17.54 Å³/atom. The value obtained for the uncorrected formation energy is -0.194 eV/atom. The crystal system is orthorhombic. For the total energy, the calculation gives -6.74 eV per atom.

---

(2)
Compound: Pm2SmCdN
Source: Alexandria via LeMat-Bulk
Functional: PBE
Structure: optimized geometry

```
data_Pm2SmCdN
_cell_length_a 5.001
_cell_length_b 5.001
_cell_length_c 4.962
_cell_angle_alpha 90.00
_cell_angle_beta 90.00
_cell_angle_gamma 90.00
_symmetry_space_group_name_H-M 'P 4/m m m'
_symmetry_Int_Tables_number 123
_symmetry_space_group_name_Hall '-P 4 2'
loop_
_atom_site_label
_atom_site_type_symbol
_atom_site_fract_x
_atom_site_fract_y
_atom_site_fract_z
Pm1 Pm 0.000 0.500 0.000
Sm1 Sm 0.000 0.000 0.500
Cd1 Cd 0.500 0.500 0.500
N1 N 0.000 0.000 0.000
```

The value obtained for the volume is 24.82 Å³/atom. The value obtained for the uncorrected formation energy is -0.741 eV/atom. The crystal system is tetragonal. For the total energy, the calculation gives -5.43 eV per atom.

---

(3)
Compound: Pm4CdSnN
Source: Alexandria via LeMat-Bulk
Functional: PBE
Structure: optimized geometry

```
data_Pm4CdSnN
_cell_length_a 6.946
_cell_length_b 16.095
_cell_length_c 6.940
_cell_angle_alpha 90.00
_cell_angle_beta 90.00
_cell_angle_gamma 90.00
_symmetry_space_group_name_H-M 'C m c m'
_symmetry_Int_Tables_number 63
_symmetry_space_group_name_Hall '-C 2c 2'
loop_
_atom_site_label
_atom_site_type_symbol
_atom_site_fract_x
_atom_site_fract_y
_atom_site_fract_z
Pm1 Pm 0.000 0.085 0.250
Pm2 Pm 0.000 0.413 0.250
Pm3 Pm 0.250 0.250 0.000
Cd1 Cd 0.000 0.115 0.750
Sn1 Sn 0.000 0.388 0.750
N1 N 0.000 0.249 0.250
```

The value obtained for the volume is 27.71 Å³/atom. The value obtained for the uncorrected formation energy is -0.708 eV/atom. The crystal system is orthorhombic. For the total energy, the calculation gives -5.31 eV per atom.

---

(4)
Compound: TbPm2CdN
Source: Alexandria via LeMat-Bulk
Functional: PBE
Structure: optimized geometry

```
data_TbPm2CdN
_cell_length_a 5.016
_cell_length_b 5.016
_cell_length_c 4.829
_cell_angle_alpha 90.00
_cell_angle_beta 90.00
_cell_angle_gamma 90.00
_symmetry_space_group_name_H-M 'P 4/m m m'
_symmetry_Int_Tables_number 123
_symmetry_space_group_name_Hall '-P 4 2'
loop_
_atom_site_label
_atom_site_type_symbol
_atom_site_fract_x
_atom_site_fract_y
_atom_site_fract_z
Tb1 Tb 0.000 0.000 0.000
Pm1 Pm 0.000 0.500 0.500
Cd1 Cd 0.500 0.500 0.000
N1 N 0.000 0.000 0.500
```

The value obtained for the volume is 24.30 Å³/atom. The value obtained for the uncorrected formation energy is -0.766 eV/atom. The crystal system is tetragonal. For the total energy, the calculation gives -5.44 eV per atom.

---

(5)
Compound: Tb2PmCdN
Source: Alexandria via LeMat-Bulk
Functional: PBE
Structure: optimized geometry

```
data_Tb2PmCdN
_cell_length_a 4.856
_cell_length_b 4.856
_cell_length_c 5.007
_cell_angle_alpha 90.00
_cell_angle_beta 90.00
_cell_angle_gamma 90.00
_symmetry_space_group_name_H-M 'P 4/m m m'
_symmetry_Int_Tables_number 123
_symmetry_space_group_name_Hall '-P 4 2'
loop_
_atom_site_label
_atom_site_type_symbol
_atom_site_fract_x
_atom_site_fract_y
_atom_site_fract_z
Tb1 Tb 0.000 0.500 0.000
Pm1 Pm 0.000 0.000 0.500
Cd1 Cd 0.500 0.500 0.500
N1 N 0.000 0.000 0.000
```

The value obtained for the volume is 23.62 Å³/atom. The value obtained for the uncorrected formation energy is -0.797 eV/atom. The crystal system is tetragonal. For the total energy, the calculation gives -5.45 eV per atom.

---

(6)
Compound: Pm2YCdN
Source: Alexandria via LeMat-Bulk
Functional: PBE
Structure: optimized geometry

```
data_Pm2YCdN
_cell_length_a 5.022
_cell_length_b 5.022
_cell_length_c 4.803
_cell_angle_alpha 90.00
_cell_angle_beta 90.00
_cell_angle_gamma 90.00
_symmetry_space_group_name_H-M 'P 4/m m m'
_symmetry_Int_Tables_number 123
_symmetry_space_group_name_Hall '-P 4 2'
loop_
_atom_site_label
_atom_site_type_symbol
_atom_site_fract_x
_atom_site_fract_y
_atom_site_fract_z
Pm1 Pm 0.000 0.500 0.000
Y1 Y 0.000 0.000 0.500
Cd1 Cd 0.500 0.500 0.500
N1 N 0.000 0.000 0.000
```

The value obtained for the volume is 24.23 Å³/atom. The value obtained for the uncorrected formation energy is -0.777 eV/atom. The crystal system is tetragonal. For the total energy, the calculation gives -5.82 eV per atom.

---

(7)
Compound: Pr2CdN
Source: Alexandria via LeMat-Bulk
Functional: PBE
Structure: optimized geometry

```
data_Pr2CdN
_cell_length_a 3.6899
_cell_length_b 3.6899
_cell_length_c 25.0830
_cell_angle_alpha 90.00
_cell_angle_beta 90.00
_cell_angle_gamma 120.00
_symmetry_space_group_name_H-M 'R -3 m'
_symmetry_Int_Tables_number 166
_symmetry_space_group_name_Hall '-R 3 2"'
loop_
_atom_site_label
_atom_site_type_symbol
_atom_site_fract_x
_atom_site_fract_y
_atom_site_fract_z
Pr1 Pr 0.0000 0.0000 0.2229
Cd1 Cd 0.0000 0.0000 0.0000
N1 N 0.0000 0.0000 0.5000
```

The value obtained for the volume is 24.65 Å³/atom. The value obtained for the uncorrected formation energy is -0.712 eV/atom. The crystal system is trigonal. The calculation puts the relative energy among the computed polymorphs at 0.004 eV/atom. For the total energy, the calculation gives -5.41 eV per atom.

---

(8)
Compound: Pr6Cd2N
Source: Alexandria via LeMat-Bulk
Functional: PBE
Structure: optimized geometry

```
data_Pr6Cd2N
_cell_length_a 12.473
_cell_length_b 7.237
_cell_length_c 7.253
_cell_angle_alpha 90.00
_cell_angle_beta 125.30
_cell_angle_gamma 90.00
_symmetry_space_group_name_H-M 'C 1 2/m 1'
_symmetry_Int_Tables_number 12
loop_
_symmetry_equiv_pos_as_xyz
'x,y,z'
'-x,-y,-z'
'-x,y,-z'
'x,-y,z'
'x+1/2,y+1/2,z'
'-x+1/2,-y+1/2,-z'
'-x+1/2,y+1/2,-z'
'x+1/2,-y+1/2,z'
loop_
_atom_site_label
_atom_site_type_symbol
_atom_site_fract_x
_atom_site_fract_y
_atom_site_fract_z
Pr1 Pr 0.032 0.244 0.289
Pr2 Pr 0.242 0.000 0.807
Cd1 Cd 0.248 0.500 0.743
N1 N 0.000 0.000 0.500
```

The value obtained for the volume is 29.68 Å³/atom. The value obtained for the uncorrected formation energy is -0.394 eV/atom. The crystal system is monoclinic. For the total energy, the calculation gives -4.71 eV per atom.

---

Copy entry 2 word for word.
Compound: Pm2SmCdN
Source: Alexandria via LeMat-Bulk
Functional: PBE
Structure: optimized geometry

```
data_Pm2SmCdN
_cell_length_a 5.001
_cell_length_b 5.001
_cell_length_c 4.962
_cell_angle_alpha 90.00
_cell_angle_beta 90.00
_cell_angle_gamma 90.00
_symmetry_space_group_name_H-M 'P 4/m m m'
_symmetry_Int_Tables_number 123
_symmetry_space_group_name_Hall '-P 4 2'
loop_
_atom_site_label
_atom_site_type_symbol
_atom_site_fract_x
_atom_site_fract_y
_atom_site_fract_z
Pm1 Pm 0.000 0.500 0.000
Sm1 Sm 0.000 0.000 0.500
Cd1 Cd 0.500 0.500 0.500
N1 N 0.000 0.000 0.000
```

The value obtained for the volume is 24.82 Å³/atom. The value obtained for the uncorrected formation energy is -0.741 eV/atom. The crystal system is tetragonal. For the total energy, the calculation gives -5.43 eV per atom.